No. 1
A crystal of ZrGaPS2 relaxed with PBEsol, computed with SCAN. Values from VASP.

```
&SYSTEM
  ibrav = 0, nat = 5, ntyp = 4
/
ATOMIC_SPECIES
P 30.97 P.upf
S 32.06 S.upf
Ga 69.72 Ga.upf
Zr 91.22 Zr.upf
ATOMIC_POSITIONS angstrom
P 0.0000 0.0000 2.2992
S 2.2693 0.0000 0.0000
S 0.0000 2.2693 0.0000
Ga 0.0000 0.0000 0.0000
Zr 2.2693 2.2693 2.2992
CELL_PARAMETERS angstrom
4.5386 0.0000 0.0000
0.0000 4.5386 0.0000
0.0000 0.0000 4.5984
```

Properties
Energy relative to the elements, uncorrected in meV per atom: 69
Calculated total energy in eV/atom: -15.271

---

No. 2
A crystal of MnP2PbS relaxed with PBEsol, computed with SCAN. Values from VASP.

```
&SYSTEM
  ibrav = 0, nat = 5, ntyp = 4
/
ATOMIC_SPECIES
Mn 54.94 Mn.upf
P 30.97 P.upf
Pb 207.20 Pb.upf
S 32.06 S.upf
ATOMIC_POSITIONS angstrom
Mn 0.0000 0.0000 0.0000
P 2.1189 0.0000 0.0000
P 0.0000 2.1189 0.0000
Pb 2.1189 2.1189 2.6253
S 0.0000 0.0000 2.6253
CELL_PARAMETERS angstrom
4.2377 0.0000 0.0000
0.0000 4.2377 0.0000
0.0000 0.0000 5.2506
```

Properties
Energy relative to the elements, uncorrected in meV per atom: 187
Calculated total energy in eV/atom: -24.705

---

No. 3
A crystal of AlGa3Ru relaxed with PBEsol, computed with SCAN. Values from VASP.

```
&SYSTEM
  ibrav = 0, nat = 5, ntyp = 3
/
ATOMIC_SPECIES
Ga 69.72 Ga.upf
Al 26.98 Al.upf
Ru 101.07 Ru.upf
ATOMIC_POSITIONS angstrom
Ga -0.6859 1.6624 -1.5365
Ga 1.3668 1.5839 1.1036
Ga -1.8045 0.5679 1.4199
Al -1.1235 3.8142 0.9870
Ru 0.0000 0.0000 0.0000
CELL_PARAMETERS angstrom
-1.3717 3.3248 -3.0730
-3.6090 1.1358 2.8399
2.7337 3.1678 2.2072
```

Properties
ΔH_f (0 K) in eV/atom: 0.139
Calculated total energy in eV/atom: -18.184

---

No. 4
A crystal of CsSbCl6 relaxed with PBEsol, computed with SCAN. Values from VASP.

```
&SYSTEM
  ibrav = 0, nat = 16, ntyp = 3
/
ATOMIC_SPECIES
Cl 35.45 Cl.upf
Sb 121.76 Sb.upf
Cs 132.91 Cs.upf
ATOMIC_POSITIONS angstrom
Cl -4.6765 -0.1008 -0.8102
Cl -10.0970 -2.2114 -3.2839
Cl -6.5307 -1.3602 -3.3181
Cl -11.4947 -1.6782 0.1812
Cl -1.2926 -4.0760 3.6308
Cl -7.9304 -0.9342 -0.2513
Cl -7.3314 -4.0582 -1.3952
Cl -4.0774 -3.2248 -1.9542
Cl -0.5132 -2.4808 -2.3866
Cl -1.9108 -1.9476 1.0784
Cl -5.4772 -2.7988 1.1126
Cl -10.7152 -0.0830 -5.8363
Sb 0.0268 -2.5153 2.3713
Sb -6.0039 -2.0795 -1.1027
Cs -9.0340 1.2815 -2.8800
Cs -3.0274 -0.4099 -4.0680
CELL_PARAMETERS angstrom
-0.0327 -1.7015 -6.3173
0.0535 -5.0306 4.7426
-12.0287 2.5731 -0.6307
```

Properties
Energy relative to the elements, uncorrected in meV per atom: -1206
Calculated total energy in eV/atom: -16.573

---

No. 5
A crystal of Sm2CoGe2 relaxed with PBEsol, computed with SCAN. Values from VASP.

```
&SYSTEM
  ibrav = 0, nat = 10, ntyp = 3
/
ATOMIC_SPECIES
Sm 150.36 Sm.upf
Ge 72.64 Ge.upf
Co 58.93 Co.upf
ATOMIC_POSITIONS angstrom
Sm -5.5382 -7.7866 -3.0875
Sm -1.7729 -1.3074 -3.9845
Sm -2.9613 -4.0542 -6.1065
Sm -4.3498 -5.0398 -0.9655
Ge -3.3121 -6.0409 -3.8851
Ge -7.0917 -5.2578 -2.0507
Ge -0.2194 -3.8362 -5.0214
Ge -3.9990 -3.0531 -3.1870
Co -2.8401 -2.2099 -1.2954
Co -4.4710 -6.8841 -5.7766
CELL_PARAMETERS angstrom
-1.7314 0.4837 -3.7740
1.8386 -3.9552 -3.6656
-7.4183 -5.6226 0.3676
```

Properties
ΔH_f (0 K) in eV/atom: -0.732
Calculated total energy in eV/atom: -29.605

---

No. 6
A crystal of TaSbMo relaxed with PBEsol, computed with SCAN. Values from VASP.

```
&SYSTEM
  ibrav = 0, nat = 3, ntyp = 3
/
ATOMIC_SPECIES
Ta 180.95 Ta.upf
Sb 121.76 Sb.upf
Mo 95.94 Mo.upf
ATOMIC_POSITIONS angstrom
Ta 0.8291 2.3225 1.3409
Sb 2.4037 0.0000 2.6818
Mo 2.5422 0.0000 0.0000
CELL_PARAMETERS angstrom
2.8875 0.0000 0.0000
0.0000 4.6450 0.0000
0.0000 -2.3225 4.0227
```

Properties
Energy relative to the elements, uncorrected in meV per atom: 249
Calculated total energy in eV/atom: -45.994

---

No. 7
A crystal of Sc2SeO2 relaxed with PBEsol, computed with SCAN. Values from VASP.

```
&SYSTEM
  ibrav = 0, nat = 5, ntyp = 3
/
ATOMIC_SPECIES
O 16.00 O.upf
Se 78.96 Se.upf
Sc 44.96 Sc.upf
ATOMIC_POSITIONS angstrom
O 2.7279 0.6095 1.8149
O 0.6025 0.7252 3.1965
Se 0.0000 0.0000 0.0000
Sc 1.7562 2.2906 2.5098
Sc 1.5742 -0.9559 2.5017
CELL_PARAMETERS angstrom
-1.3738 -1.9133 2.7075
2.8769 -2.1446 -0.0557
1.8274 5.3926 2.3597
```

Properties
Energy relative to the elements, uncorrected in meV per atom: -3177
Calculated total energy in eV/atom: -15.380

---

No. 8
A crystal of CuNiIr relaxed with PBEsol, computed with SCAN. Values from VASP.

```
&SYSTEM
  ibrav = 0, nat = 3, ntyp = 3
/
ATOMIC_SPECIES
Cu 63.55 Cu.upf
Ir 192.22 Ir.upf
Ni 58.69 Ni.upf
ATOMIC_POSITIONS angstrom
Cu 1.3087 1.3087 5.2220
Ir 1.3087 1.3087 1.8139
Ni 0.0000 0.0000 3.5313
CELL_PARAMETERS angstrom
2.6173 0.0000 0.0000
0.0000 2.6173 0.0000
-1.3087 -1.3087 5.2836
```

Properties
ΔH_f (0 K) in eV/atom: 0.108
ΔE to the lowest computed polymorph in meV/atom: 61
Calculated total energy in eV/atom: -34.049

---

No. 9
A crystal of RbYSeCl2O3 relaxed with PBEsol, computed with SCAN. Values from VASP.

```
&SYSTEM
  ibrav = 0, nat = 16, ntyp = 5
/
ATOMIC_SPECIES
Y 88.91 Y.upf
Cl 35.45 Cl.upf
O 16.00 O.upf
Rb 85.47 Rb.upf
Se 78.96 Se.upf
ATOMIC_POSITIONS angstrom
Y 2.5361 5.2617 0.2233
Y 6.5233 3.0622 8.1688
Cl 4.7316 1.6547 2.4046
Cl 4.3279 6.6692 5.9875
Cl 2.6036 5.1364 2.8497
Cl 6.4558 3.1875 5.5424
O 8.7899 3.0940 7.8822
O 2.1790 3.0051 0.1317
O 0.2695 5.2299 0.5099
O 6.8804 5.3188 8.2604
O 6.9223 7.7862 8.0864
O 2.1372 0.5377 0.3057
Rb 3.2128 2.7444 5.0752
Rb 5.8466 5.5795 3.3168
Se 8.0005 6.4987 7.6535
Se 1.0589 1.8252 0.7386
CELL_PARAMETERS angstrom
6.5260 0.0318 0.0418
0.1640 6.9798 0.0222
2.3694 1.3124 8.3280
```

Properties
Energy relative to the elements, uncorrected in meV per atom: -2234
Calculated total energy in eV/atom: -15.148

---

No. 10
A crystal of Na2SnBr relaxed with PBEsol, computed with SCAN. Values from VASP.

```
&SYSTEM
  ibrav = 0, nat = 4, ntyp = 3
/
ATOMIC_SPECIES
Sn 118.71 Sn.upf
Na 22.99 Na.upf
Br 79.90 Br.upf
ATOMIC_POSITIONS angstrom
Sn -5.8405 -2.4937 1.8479
Na -2.9203 -1.2468 0.9239
Na -8.7608 -3.7405 2.7718
Br 0.0000 0.0000 0.0000
CELL_PARAMETERS angstrom
-4.4986 -2.4381 -1.7267
-2.4375 -3.6836 3.1069
-4.7450 1.1344 2.3155
```

Properties
Energy relative to the elements, uncorrected in meV per atom: -314
Calculated total energy in eV/atom: -16.266

---

No. 11
A crystal of ScBi3Pb relaxed with PBEsol, computed with SCAN. Values from VASP.

```
&SYSTEM
  ibrav = 0, nat = 5, ntyp = 3
/
ATOMIC_SPECIES
Sc 44.96 Sc.upf
Pb 207.20 Pb.upf
Bi 208.98 Bi.upf
ATOMIC_POSITIONS angstrom
Sc 2.8664 2.8664 2.8664
Pb 0.0000 0.0000 0.0000
Bi 0.0000 2.8664 0.0000
Bi 2.8664 0.0000 0.0000
Bi 0.0000 0.0000 2.8664
CELL_PARAMETERS angstrom
5.7328 0.0000 0.0000
0.0000 5.7328 0.0000
0.0000 0.0000 5.7328
```

Properties
ΔH_f (0 K) in eV/atom: 0.846
Calculated total energy in eV/atom: -64.305

---

No. 12
A crystal of KCr2Fe relaxed with PBEsol, computed with SCAN. Values from VASP.

```
&SYSTEM
  ibrav = 0, nat = 4, ntyp = 3
/
ATOMIC_SPECIES
Cr 52.00 Cr.upf
Fe 55.84 Fe.upf
K 39.10 K.upf
ATOMIC_POSITIONS angstrom
Cr 1.4048 2.8615 6.5999
Cr 0.0000 1.3144 5.4349
Fe 1.4048 -0.2888 4.5674
K 1.4048 1.6638 1.9820
CELL_PARAMETERS angstrom
2.8096 0.0000 0.0000
-1.4048 3.6775 0.0449
0.0000 -0.7217 7.3977
```

Properties
ΔH_f (0 K) in eV/atom: 0.814
ΔE to the lowest computed polymorph in meV/atom: 37
Calculated total energy in eV/atom: -14.993

---

No. 13
A crystal of Cs3MgFe relaxed with PBEsol, computed with SCAN. Values from VASP.

```
&SYSTEM
  ibrav = 0, nat = 5, ntyp = 3
/
ATOMIC_SPECIES
Fe 55.84 Fe.upf
Mg 24.30 Mg.upf
Cs 132.91 Cs.upf
ATOMIC_POSITIONS angstrom
Fe 0.0000 0.0000 0.0000
Mg 1.8398 3.0170 4.5003
Cs -0.1340 3.2894 0.2746
Cs 3.1020 0.0316 1.1357
Cs -1.1282 -0.3039 3.0900
CELL_PARAMETERS angstrom
-0.2681 6.5787 0.5492
-2.2563 -0.6078 6.1800
6.2041 0.0632 2.2713
```

Properties
ΔH_f (0 K) in eV/atom: 0.813
Calculated total energy in eV/atom: -26.493

---

No. 14
A crystal of CdHgO2 relaxed with PBEsol, computed with SCAN. Values from VASP.

```
&SYSTEM
  ibrav = 0, nat = 8, ntyp = 3
/
ATOMIC_SPECIES
O 16.00 O.upf
Cd 112.41 Cd.upf
Hg 200.59 Hg.upf
ATOMIC_POSITIONS angstrom
O -1.8239 0.0922 -3.7945
O -4.0673 -0.7015 -1.1554
O -0.5551 4.1307 0.7704
O -2.8261 2.7353 -1.5798
Cd -1.1981 1.9530 -2.8207
Cd -2.3821 -1.4489 -2.3401
Hg -3.4381 1.1754 -0.0590
Hg 0.0000 0.0000 0.0000
CELL_PARAMETERS angstrom
-0.1420 -0.6714 -5.1018
-4.6221 -2.2265 0.4217
0.1279 6.0263 1.8005
```

Properties
Energy relative to the elements, uncorrected in meV per atom: -645
ΔE to the lowest computed polymorph in meV/atom: 167
Calculated total energy in eV/atom: -28.405

---

No. 15
A crystal of Li2YFe2 relaxed with PBEsol, computed with SCAN. Values from VASP.

```
&SYSTEM
  ibrav = 0, nat = 5, ntyp = 3
/
ATOMIC_SPECIES
Fe 55.84 Fe.upf
Y 88.91 Y.upf
Li 6.94 Li.upf
ATOMIC_POSITIONS angstrom
Fe -0.9723 0.0513 2.9791
Fe -2.8496 0.8131 1.0206
Y 0.0000 0.0000 0.0000
Li -1.6252 2.2662 2.4394
Li -2.1967 -1.4017 1.5603
CELL_PARAMETERS angstrom
-3.5767 -1.3332 -1.1444
0.1778 -2.8569 2.7725
-0.4230 5.0546 2.3717
```

Properties
ΔH_f (0 K) in eV/atom: 0.437
Calculated total energy in eV/atom: -13.339

---

No. 16
A crystal of CeTiGe relaxed with PBEsol, computed with SCAN. Values from VASP.

```
&SYSTEM
  ibrav = 0, nat = 6, ntyp = 3
/
ATOMIC_SPECIES
Ti 47.87 Ti.upf
Ce 140.12 Ce.upf
Ge 72.64 Ge.upf
ATOMIC_POSITIONS angstrom
Ti -0.4127 -1.9325 -0.2203
Ti -1.7895 0.4655 -0.7312
Ce -3.2838 -1.5331 1.6536
Ce -1.9310 -0.1178 4.6506
Ge -0.7016 -0.0428 1.6897
Ge -4.5133 -1.6081 4.6145
CELL_PARAMETERS angstrom
-3.5789 0.9310 -1.4625
-0.8253 -3.8651 -0.4406
-0.8106 1.2832 8.2073
```

Properties
ΔH_f (0 K) in eV/atom: -0.665
Calculated total energy in eV/atom: -27.225

---

No. 17
A crystal of Nb2Co3Si relaxed with PBEsol, computed with SCAN. Values from VASP.

```
&SYSTEM
  ibrav = 0, nat = 12, ntyp = 3
/
ATOMIC_SPECIES
Si 28.09 Si.upf
Nb 92.91 Nb.upf
Co 58.93 Co.upf
ATOMIC_POSITIONS angstrom
Si 0.0000 0.0000 0.0000
Si -3.6691 0.2900 0.6301
Nb -7.4039 -0.1594 -1.4526
Nb -0.7715 -2.6354 -0.6087
Nb -4.6204 -0.3794 -1.9307
Nb -3.5550 -2.4154 -0.1307
Co -5.6711 -0.9259 0.5962
Co -2.4313 0.4046 -3.2790
Co -5.7441 -3.1993 1.2176
Co -2.5043 -1.8688 -2.6576
Co -2.0937 -0.2140 -1.0288
Co -6.0817 -2.5808 -1.0325
CELL_PARAMETERS angstrom
-0.6884 1.2615 -4.5890
-0.1488 -4.6364 1.2673
-7.3382 0.5801 1.2603
```

Properties
Energy relative to the elements, uncorrected in meV per atom: -359
Calculated total energy in eV/atom: -21.724

---

No. 18
A crystal of Co4Tc relaxed with PBEsol, computed with SCAN. Values from VASP.

```
&SYSTEM
  ibrav = 0, nat = 5, ntyp = 2
/
ATOMIC_SPECIES
Co 58.93 Co.upf
Tc 98.00 Tc.upf
ATOMIC_POSITIONS angstrom
Co -2.4113 3.0072 1.8920
Co -2.6681 5.2673 2.8397
Co -0.5000 4.5370 1.9242
Co -0.2432 2.2768 0.9765
Tc 0.0000 0.0000 0.0000
CELL_PARAMETERS angstrom
-2.1583 2.7082 -0.5542
-2.4460 1.0137 3.3825
1.6930 3.8222 0.9879
```

Properties
ΔH_f (0 K) in eV/atom: 0.187
Calculated total energy in eV/atom: -20.669

---

No. 19
A crystal of InAgS2 relaxed with PBEsol, computed with SCAN. Values from VASP.

```
&SYSTEM
  ibrav = 0, nat = 4, ntyp = 3
/
ATOMIC_SPECIES
S 32.06 S.upf
Ag 107.87 Ag.upf
In 114.82 In.upf
ATOMIC_POSITIONS angstrom
S 0.0000 2.3560 0.8919
S 0.0000 0.0000 4.1064
Ag 0.0000 2.3560 3.4621
In 0.0000 0.0000 6.4964
CELL_PARAMETERS angstrom
4.0808 0.0000 0.0000
-2.0404 3.5341 0.0000
0.0000 0.0000 6.6475
```

Properties
Energy relative to the elements, uncorrected in meV per atom: -411
Calculated total energy in eV/atom: -21.414

---

No. 20
A crystal of CrHgRu2 relaxed with PBEsol, computed with SCAN. Values from VASP.

```
&SYSTEM
  ibrav = 0, nat = 4, ntyp = 3
/
ATOMIC_SPECIES
Ru 101.07 Ru.upf
Hg 200.59 Hg.upf
Cr 52.00 Cr.upf
ATOMIC_POSITIONS angstrom
Ru 0.0000 1.9494 0.0000
Ru 0.0000 0.0000 1.9494
Hg 1.9147 0.0000 0.0000
Cr 1.9147 1.9494 1.9494
CELL_PARAMETERS angstrom
3.8293 0.0000 0.0000
0.0000 3.8987 0.0000
0.0000 0.0000 3.8987
```

Properties
ΔH_f (0 K) in eV/atom: 0.382
Calculated total energy in eV/atom: -38.668

---

Number 1: volume 18.94 Å³ per atom, magnetization 0.000 μB/cell. Number 2: volume 18.86 Å³ per atom, magnetization 2.044 μB/cell. Number 3: volume 21.17 Å³ per atom, magnetization 0.000 μB/cell. Number 4: volume 29.92 Å³ per atom, magnetization 0.000 μB/cell. Number 5: volume 20.08 Å³ per atom, magnetization 0.000 μB/cell. Number 6: volume 17.98 Å³ per atom, magnetization 0.000 μB/cell. Number 7: volume 14.47 Å³ per atom, magnetization 0.000 μB/cell. Number 8: volume 12.06 Å³ per atom, magnetization 1.025 μB/cell. Number 9: volume 23.65 Å³ per atom, magnetization 0.000 μB/cell. Number 10: volume 27.84 Å³ per atom, magnetization 1.551 μB/cell. Number 11: volume 37.68 Å³ per atom, magnetization 0.001 μB/cell. Number 12: volume 19.13 Å³ per atom, magnetization 3.572 μB/cell. Number 13: volume 57.68 Å³ per atom, magnetization 1.004 μB/cell. Number 14: volume 16.99 Å³ per atom, magnetization 0.000 μB/cell. Number 15: volume 15.37 Å³ per atom, magnetization 4.098 μB/cell. Number 16: volume 20.71 Å³ per atom, magnetization 5.424 μB/cell. Number 17: volume 12.46 Å³ per atom, magnetization 0.002 μB/cell. Number 18: volume 10.79 Å³ per atom, magnetization 5.600 μB/cell. Number 19: volume 23.97 Å³ per atom, magnetization 0.000 μB/cell. Number 20: volume 14.55 Å³ per atom, magnetization 0.532 μB/cell.